[1]
ZnTePtI2: optimized geometry, GGA-PBEsol.

Values from the calculation:
Crystal system ... tetragonal
Space group ... P4/mmm

a = 5.2032 Å, b = 5.2032 Å, c = 5.2377 Å
α = 90.00°, β = 90.00°, γ = 90.00°
Closest atoms and distances in Å follow each position.
Fractional positions:
I (0.5000, 0.0000, 0.0000)  2 Zn 2.60
I (0.0000, 0.5000, 0.0000)  2 Zn 2.60
Pt (0.5000, 0.5000, 0.5000)  4 Te 3.68, 8 I 3.69
Zn (0.0000, 0.0000, 0.0000)  4 I 2.60, 2 Te 2.62
Te (0.0000, 0.0000, 0.5000)  2 Zn 2.62

---

[2]
Ti3PtI: optimized geometry, GGA-PBEsol.

Values from the calculation:
Crystal system ... cubic
Space group ... Pm-3m

a = 4.8401 Å, b = 4.8401 Å, c = 4.8401 Å
α = 90.00°, β = 90.00°, γ = 90.00°
Closest atoms and distances in Å follow each position.
Fractional positions:
Ti (0.5000, 0.0000, 0.0000)  2 Pt 2.42
Ti (0.0000, 0.5000, 0.0000)  2 Pt 2.42
Ti (0.0000, 0.0000, 0.5000)  2 Pt 2.42
Pt (0.0000, 0.0000, 0.0000)  6 Ti 2.42
I (0.5000, 0.5000, 0.5000)  12 Ti 3.42

---

[3]
TiPt3I: optimized geometry, GGA-PBEsol.

Values from the calculation:
Crystal system ... cubic
Space group ... Pm-3m

a = 4.8601 Å, b = 4.8601 Å, c = 4.8601 Å
α = 90.00°, β = 90.00°, γ = 90.00°
Closest atoms and distances in Å follow each position.
Fractional positions:
Pt (0.5000, 0.0000, 0.0000)  2 I 2.43
Pt (0.0000, 0.5000, 0.0000)  2 I 2.43
Pt (0.0000, 0.0000, 0.5000)  2 I 2.43
I (0.0000, 0.0000, 0.0000)  6 Pt 2.43
Ti (0.5000, 0.5000, 0.5000)  12 Pt 3.44

---

[4]
Tl3PtI: optimized geometry, GGA-PBEsol.

Values from the calculation:
Crystal system ... cubic
Space group ... Pm-3m

a = 5.3180 Å, b = 5.3180 Å, c = 5.3180 Å
α = 90.00°, β = 90.00°, γ = 90.00°
Closest atoms and distances in Å follow each position.
Fractional positions:
Tl (0.5000, 0.0000, 0.0000)  2 Pt 2.66
Tl (0.0000, 0.0000, 0.5000)  2 Pt 2.66
Tl (0.0000, 0.5000, 0.0000)  2 Pt 2.66
I (0.5000, 0.5000, 0.5000)  12 Tl 3.76
Pt (0.0000, 0.0000, 0.0000)  6 Tl 2.66

---

[5]
PtWI2: optimized geometry, GGA-PBEsol.

Values from the calculation:
Crystal system ... cubic
Space group ... Fm-3m

a = 4.8117 Å, b = 4.8117 Å, c = 4.8117 Å
α = 60.00°, β = 60.00°, γ = 60.00°
Closest atoms and distances in Å follow each position.
Fractional positions:
Pt (0.5000, 0.5000, 0.5000)  8 I 2.95
W (0.0000, 0.0000, 0.0000)  8 I 2.95
I (0.2500, 0.2500, 0.2500)  4 W 2.95, 4 Pt 2.95
I (0.7500, 0.7500, 0.7500)  4 W 2.95, 4 Pt 2.95

---

[6]
Y6PtI10: optimized geometry, GGA-PBEsol.

Values from the calculation:
Crystal system ... triclinic
Space group ... P-1

a = 7.5214 Å, b = 9.4780 Å, c = 9.5068 Å
α = 107.28°, β = 96.96°, γ = 104.80°
Closest atoms and distances in Å follow each position.
Fractional positions:
Y (0.3568, 0.1280, 0.1682)  1 Pt 2.72, 1 I 3.00
Y (0.9697, 0.2921, 0.0883)  1 Pt 2.72, 1 I 3.01
Y (0.8831, 0.9602, 0.2468)  1 Pt 2.70
Y (0.6432, 0.8720, 0.8318)  1 Pt 2.72, 1 I 3.00
Y (0.1169, 0.0398, 0.7532)  1 Pt 2.70
Y (0.0303, 0.7079, 0.9117)  1 Pt 2.72, 1 I 3.01
I (0.9119, 0.6260, 0.1847)  3 Y 3.09-3.18
I (0.0881, 0.3740, 0.8153)  3 Y 3.09-3.18
I (0.2671, 0.0896, 0.4670)  3 Y 3.07-3.18
I (0.4518, 0.8113, 0.0945)  4 Y 3.15-3.18
I (0.3615, 0.4605, 0.2759)  2 Y 3.00-3.01
I (0.7329, 0.9104, 0.5330)  3 Y 3.07-3.18
I (0.6385, 0.5395, 0.7241)  2 Y 3.00-3.01
I (0.7819, 0.2652, 0.3562)  3 Y 3.09-3.20
I (0.2181, 0.7348, 0.6438)  3 Y 3.09-3.20
I (0.5482, 0.1887, 0.9055)  4 Y 3.15-3.18
Pt (0.0000, 0.0000, 0.0000)  6 Y 2.70-2.72

---

[7]
YPt2I: optimized geometry, GGA-PBEsol.

Values from the calculation:
Crystal system ... cubic
Space group ... Fm-3m

a = 4.8736 Å, b = 4.8736 Å, c = 4.8736 Å
α = 60.00°, β = 60.00°, γ = 60.00°
Closest atoms and distances in Å follow each position.
Fractional positions:
Pt (0.7500, 0.7500, 0.7500)  4 I 2.98, 4 Y 2.98
Pt (0.2500, 0.2500, 0.2500)  4 I 2.98, 4 Y 2.98
Y (0.0000, 0.0000, 0.0000)  8 Pt 2.98
I (0.5000, 0.5000, 0.5000)  8 Pt 2.98

---

[8]
RbI3: optimized geometry, GGA-PBEsol.

Values from the calculation:
Crystal system ... orthorhombic
Space group ... Pnma

a = 6.5679 Å, b = 9.7420 Å, c = 10.6479 Å
α = 90.00°, β = 90.00°, γ = 90.00°
Closest atoms and distances in Å follow each position.
Fractional positions:
I (0.7500, 0.8515, 0.6581)  1 I 2.99
I (0.2500, 0.5497, 0.6270)  2 I 2.87-2.99
I (0.2500, 0.7408, 0.4223)  1 I 2.87
I (0.7500, 0.2408, 0.0777)  1 I 2.87
I (0.2500, 0.1485, 0.3419)  1 I 2.99
I (0.2500, 0.3515, 0.8419)  1 I 2.99
I (0.7500, 0.4503, 0.3730)  2 I 2.87-2.99
I (0.7500, 0.0497, 0.8730)  2 I 2.87-2.99
I (0.7500, 0.6485, 0.1581)  1 I 2.99
I (0.2500, 0.9503, 0.1270)  2 I 2.87-2.99
I (0.2500, 0.7592, 0.9223)  1 I 2.87
I (0.7500, 0.2592, 0.5777)  1 I 2.87
Rb (0.7500, 0.9719, 0.3278)  8 I 3.63-3.92
Rb (0.2500, 0.4719, 0.1722)  8 I 3.63-3.92
Rb (0.2500, 0.0281, 0.6722)  8 I 3.63-3.92
Rb (0.7500, 0.5281, 0.8278)  8 I 3.63-3.92

---

[9]
RbRe3I: optimized geometry, GGA-PBEsol.

Values from the calculation:
Crystal system ... cubic
Space group ... Pm-3m

a = 4.7324 Å, b = 4.7324 Å, c = 4.7324 Å
α = 90.00°, β = 90.00°, γ = 90.00°
Closest atoms and distances in Å follow each position.
Fractional positions:
Re (0.5000, 0.0000, 0.0000)  2 Rb 2.37
Re (0.0000, 0.0000, 0.5000)  2 Rb 2.37
Re (0.0000, 0.5000, 0.0000)  2 Rb 2.37
I (0.5000, 0.5000, 0.5000)  12 Re 3.35
Rb (0.0000, 0.0000, 0.0000)  6 Re 2.37

---

[10]
RbS2I2: optimized geometry, GGA-PBEsol.

Values from the calculation:
Crystal system ... tetragonal
Space group ... P4/mbm

a = 4.5970 Å, b = 8.7810 Å, c = 8.7810 Å
α = 90.00°, β = 90.00°, γ = 90.00°
Closest atoms and distances in Å follow each position.
Fractional positions:
S (0.0000, 0.4243, 0.9243)  1 S 1.88
S (0.0000, 0.0757, 0.4243)  1 S 1.88
S (0.0000, 0.5757, 0.0757)  1 S 1.88
S (0.0000, 0.9243, 0.5757)  1 S 1.88
I (0.5000, 0.7473, 0.2473)  2 S 3.13
I (0.5000, 0.7527, 0.7473)  2 S 3.13
I (0.5000, 0.2473, 0.2527)  2 S 3.13
I (0.5000, 0.2527, 0.7527)  2 S 3.13
Rb (0.0000, 0.0000, 0.0000)  4 S 3.78, 8 I 3.86
Rb (0.0000, 0.5000, 0.5000)  4 S 3.78, 8 I 3.86

---

[11]
RbSbSeI2: optimized geometry, GGA-PBEsol.

Values from the calculation:
Crystal system ... tetragonal
Space group ... P4/mmm

a = 5.4113 Å, b = 6.0050 Å, c = 6.0050 Å
α = 90.00°, β = 90.00°, γ = 90.00°
Closest atoms and distances in Å follow each position.
Fractional positions:
Sb (0.5000, 0.0000, 0.0000)  2 Se 2.71
Rb (0.5000, 0.5000, 0.5000)  8 I 4.04, 4 Sb 4.25
I (0.0000, 0.0000, 0.5000)  2 Se 3.00
I (0.0000, 0.5000, 0.0000)  2 Se 3.00
Se (0.0000, 0.0000, 0.0000)  2 Sb 2.71, 4 I 3.00

---

[12]
RbTaSb2I: optimized geometry, GGA-PBEsol.

Values from the calculation:
Crystal system ... tetragonal
Space group ... P4/mmm
E above lowest polymorph ... 0 meV per atom

a = 5.3052 Å, b = 5.3052 Å, c = 5.9703 Å
α = 90.00°, β = 90.00°, γ = 90.00°
Closest atoms and distances in Å follow each position.
Fractional positions:
Rb (0.5000, 0.5000, 0.5000)  4 I 3.75, 8 Sb 3.99
Sb (0.0000, 0.5000, 0.0000)  2 Ta 2.65
Sb (0.5000, 0.0000, 0.0000)  2 Ta 2.65
I (0.0000, 0.0000, 0.5000)  2 Ta 2.99
Ta (0.0000, 0.0000, 0.0000)  4 Sb 2.65

---

| no. | formation energy (no corrections) (meV per atom) |
| --- | --- |
| 1 | 918 |
| 2 | 305 |
| 3 | 1218 |
| 4 | -301 |
| 5 | 1134 |
| 6 | -1316 |
| 7 | -308 |
| 8 | -768 |
| 9 | 4333 |
| 10 | -339 |
| 11 | -200 |
| 12 | -94 |